Record 1
PuPa2MoN5 | PBE | optimized geometry

Geometry as POSCAR:
```
PuPa2MoN5
1.0
6.5784 0.0000 0.0000
0.0000 6.5784 0.0000
-3.2892 -3.2892 5.7460
N Pu Pa Mo
10 2 4 2
Direct
0.4810 0.2924 0.2735
0.0190 0.5190 0.7265
0.7924 0.9810 0.2735
0.0000 0.0000 0.0000
0.9810 0.4810 0.2735
0.5190 0.7076 0.7265
0.5000 0.5000 0.0000
0.2076 0.0190 0.7265
0.2924 0.7924 0.2735
0.7076 0.2076 0.7265
0.7500 0.7500 0.5000
0.2500 0.2500 0.5000
0.6730 0.1730 0.0000
0.8270 0.6730 0.0000
0.1730 0.3270 0.0000
0.3270 0.8270 0.0000
0.7500 0.2500 0.5000
0.2500 0.7500 0.5000
```

Properties
energy: -10.6794 eV/atom
total magnetic moment: 5.1 μB/f.u.
crystal system: tetragonal
energy relative to the elements, uncorrected: -1.15 eV per atom



Record 2
LiMgN3 | PBE | optimized geometry

Geometry as POSCAR:
```
LiMgN3
1.0
3.9961 0.0000 0.0000
0.0000 3.9961 0.0000
0.0000 0.0000 3.9961
Li N Mg
1 3 1
Direct
0.5000 0.5000 0.5000
0.5000 0.0000 0.0000
0.0000 0.5000 0.0000
0.0000 0.0000 0.5000
0.0000 0.0000 0.0000
```

Properties
energy: -4.0694 eV/atom
total magnetic moment: 4.3 μB/f.u.
crystal system: cubic
energy relative to the elements, uncorrected: 1.63 eV per atom



Record 3
LaGa2CuNi4 | PBE | optimized geometry

Geometry as POSCAR:
```
LaGa2CuNi4
1.0
-0.7605 2.7726 2.8501
-3.8001 1.2243 0.6700
-2.4945 -4.8311 6.9092
Ga Ni La Cu
2 4 1 1
Direct
0.2325 0.2325 0.3026
0.7675 0.7675 0.6974
0.1309 0.1309 0.6074
0.5931 0.5931 0.2208
0.4069 0.4069 0.7792
0.8691 0.8691 0.3926
0.0000 0.0000 0.0000
0.5000 0.5000 0.5000
```

Properties
energy: -5.1236 eV/atom
E_form: -0.3483 eV/atom
total magnetic moment: 0.0 μB/f.u.
crystal system: trigonal



Record 4
CaMg2Tl3F9 | PBE | optimized geometry

Geometry as POSCAR:
```
CaMg2Tl3F9
1.0
6.0018 0.0000 0.0000
-3.0009 5.1977 0.0000
0.0000 0.0000 7.4079
F Mg Ca Tl
9 2 1 3
Direct
0.8247 0.1753 0.6833
0.1753 0.8247 0.3167
0.6494 0.8247 0.3167
0.1753 0.3506 0.3167
0.0000 0.5000 0.0000
0.5000 0.0000 0.0000
0.3506 0.1753 0.6833
0.8247 0.6494 0.6833
0.5000 0.5000 0.0000
0.6667 0.3333 0.8429
0.3333 0.6667 0.1571
0.0000 0.0000 0.5000
0.3333 0.6667 0.6738
0.0000 0.0000 0.0000
0.6667 0.3333 0.3262
```

Properties
energy: -4.8554 eV/atom
total magnetic moment: 0.0 μB/f.u.
crystal system: trigonal
energy relative to the elements, uncorrected: -2.91 eV per atom



Record 5
Nd4ZnAu | PBE | optimized geometry

Geometry as POSCAR:
```
Nd4ZnAu
1.0
3.7262 -0.0007 0.0000
0.0007 3.7262 0.0000
-0.0014 -0.0014 12.5442
Au Zn Nd
1 1 4
Direct
0.5000 0.5000 0.5000
0.0000 0.0000 0.0000
0.0000 0.0000 0.3548
0.5000 0.5000 0.1431
0.0000 0.0000 0.6452
0.5000 0.5000 0.8569
```

Properties
energy: -4.2712 eV/atom
E_form: -0.3341 eV/atom
offset from the most stable computed form: 0 meV/atom
total magnetic moment: 1.0 μB/f.u.
crystal system: tetragonal



Record 6
Sm4CdPtAu2 | PBE | optimized geometry

Geometry as POSCAR:
```
Sm4CdPtAu2
1.0
-0.1640 0.4582 5.1756
-0.9963 -4.1643 2.9478
7.9417 -2.9346 3.1222
Sm Pt Cd Au
4 1 1 2
Direct
0.1313 0.1313 0.6062
0.6170 0.6170 0.1490
0.3830 0.3830 0.8510
0.8687 0.8687 0.3938
0.5000 0.5000 0.5000
0.0000 0.0000 0.0000
0.2615 0.2615 0.2154
0.7385 0.7385 0.7846
```

Properties
energy: -4.8191 eV/atom
E_form: -0.7707 eV/atom
total magnetic moment: 0.0 μB/f.u.
crystal system: trigonal



Record 7
TaP3 | PBE | optimized geometry

Geometry as POSCAR:
```
TaP3
1.0
5.0213 0.0005 0.0000
2.2755 4.4761 0.0000
-3.6484 -2.2383 2.6254
P Ta
3 1
Direct
0.5000 0.5000 0.0000
0.2500 0.7500 0.5000
0.7500 0.2500 0.5000
0.0000 0.0000 0.0000
```

Properties
energy: -6.8066 eV/atom
E_form: 0.2139 eV/atom
total magnetic moment: 0.0 μB/f.u.
crystal system: tetragonal



Record 8
Li5Tl2InAg2 | PBE | optimized geometry

Geometry as POSCAR:
```
Li5Tl2InAg2
1.0
3.5218 0.0000 0.0000
0.0000 10.6699 0.0000
0.0000 0.0000 10.6699
Ag Li Tl In
4 10 4 2
Direct
0.0000 0.6288 0.8712
0.0000 0.3712 0.1288
0.0000 0.1288 0.6288
0.0000 0.8712 0.3712
0.5000 0.0819 0.8058
0.5000 0.8058 0.9181
0.5000 0.3058 0.5819
0.5000 0.0000 0.5000
0.5000 0.5819 0.6942
0.5000 0.6942 0.4181
0.5000 0.5000 0.0000
0.5000 0.9181 0.1942
0.5000 0.4181 0.3058
0.5000 0.1942 0.0819
0.0000 0.3324 0.8324
0.0000 0.6676 0.1676
0.0000 0.1676 0.3324
0.0000 0.8324 0.6676
0.0000 0.5000 0.5000
0.0000 0.0000 0.0000
```

Properties
energy: -2.4133 eV/atom
E_form: -0.1390 eV/atom
total magnetic moment: 0.0 μB/f.u.
crystal system: tetragonal



Record 9
Ba2BeNi | PBE | optimized geometry

Geometry as POSCAR:
```
Ba2BeNi
1.0
-5.8278 -0.8707 -1.4557
-3.0484 -3.4791 3.9298
3.6052 4.8580 0.4923
Ba Ni Be
2 1 1
Direct
0.0000 0.0000 0.0000
0.2500 0.7500 0.5000
0.7500 0.2500 0.5000
0.5000 0.5000 0.0000
```

Properties
energy: -2.7026 eV/atom
E_form: 0.6356 eV/atom
offset from the most stable computed form: 532 meV/atom
total magnetic moment: 0.0 μB/f.u.
crystal system: tetragonal



Record 10
MnCr4 | PBE | optimized geometry

Geometry as POSCAR:
```
MnCr4
1.0
2.4158 0.0162 -0.5190
-0.3115 3.7549 -1.3437
0.4800 0.1127 6.1476
Cr Mn
4 1
Direct
0.7008 0.8002 0.1004
0.2992 0.1998 0.8996
0.9099 0.5995 0.6988
0.0901 0.4005 0.3012
0.5000 0.0000 0.5000
```

Properties
energy: -9.5103 eV/atom
E_form: 0.0223 eV/atom
offset from the most stable computed form: 4 meV/atom
total magnetic moment: 0.6 μB/f.u.
crystal system: monoclinic



Computed N(E_F) (states/eV/f.u.) in order:
9.37, 4.20, 4.73, 0.00, 7.70, 5.87, 1.72, 3.51, 4.78, 5.52
Computed theoretical density (g/cm3) in order:
11.65, 1.91, 7.96, 6.27, 8.00, 10.86, 7.71, 6.41, 5.13, 7.65